Record 1
LaTa2Ru | PBE | optimized geometry

Lattice parameters (Å, degrees): 3.1127 4.2084 6.7170 90.00 101.02 90.00
Sites, in units of the cell vectors:
1 La 0.0000 0.0000 0.0000
2 Ta 0.3984 0.5000 0.6630
3 Ta 0.8821 0.0000 0.4656
4 Ru 0.4969 0.5000 0.2990

Values from the calculation:
E = -37.066 eV for the cell shown
Size of the total moment = 0.0 μB/f.u.

=====

Record 2
LaTa2Ru | PBE | optimized geometry

Lattice parameters (Å, degrees): 9.4421 9.4421 9.4421 148.97 148.97 44.45
Sites, in units of the cell vectors:
1 La 0.3750 0.6250 0.7500
2 La 0.6250 0.3750 0.2500
3 Ta 0.0000 0.0000 0.0000
4 Ta 0.0000 0.0000 0.5000
5 Ta 0.0000 0.5000 0.0000
6 Ta 0.5000 0.0000 0.5000
7 Ru 0.1250 0.8750 0.2500
8 Ru 0.8750 0.1250 0.7500

Values from the calculation:
E = -68.670 eV for the cell shown
Size of the total moment = 0.0 μB/f.u.